Entry 1:
! CdAg5, optimized geometry, DFT GGA-PBEsol; values from VASP
&SYSTEM
  ibrav = 0, nat = 6, ntyp = 2
/
ATOMIC_SPECIES
Cd 112.41 Cd.upf
Ag 107.87 Ag.upf
CELL_PARAMETERS angstrom
4.987 0.000 0.000
-2.493 4.319 0.000
0.000 0.000 4.717
ATOMIC_POSITIONS angstrom
Cd 0.000 0.000 0.000
Ag -0.839 1.453 2.359
Ag 0.000 2.879 0.000
Ag 1.678 0.000 2.359
Ag 1.655 2.866 2.359
Ag 2.493 1.440 0.000
! ΔE to the lowest computed polymorph ... 0.000 eV/atom
! ΔE_f ... -0.23 eV/f.u.

=====

Entry 2:
! Cd6Ag7, optimized geometry, DFT GGA-PBEsol; values from VASP
&SYSTEM
  ibrav = 0, nat = 13, ntyp = 2
/
ATOMIC_SPECIES
Cd 112.41 Cd.upf
Ag 107.87 Ag.upf
CELL_PARAMETERS angstrom
2.763 1.595 9.310
-2.763 1.595 9.310
0.000 -3.190 9.310
ATOMIC_POSITIONS angstrom
Cd 0.000 0.000 1.414
Cd 0.000 0.000 4.355
Cd 0.000 0.000 9.319
Cd 0.000 0.000 18.612
Cd 0.000 0.000 23.576
Cd 0.000 0.000 26.516
Ag -1.393 -0.804 11.732
Ag 0.000 -1.608 16.199
Ag -1.393 0.804 16.199
Ag 0.000 0.000 13.965
Ag 1.393 -0.804 11.732
Ag 0.000 1.608 11.732
Ag 1.393 0.804 16.199
! ΔE_f ... -0.16 eV/f.u.